Density functional theory data (PBE) for crystalline Hf3SnGe at its relaxed geometry.

abc: 4.9527 4.9527 4.9527
angles: 90.00 90.00 90.00
Closest atoms and distances in Å follow each position.
Positions (direct):
1 Ge 0.0000 0.0000 0.0000  6 Hf 2.48
2 Hf 0.0000 0.5000 0.0000  2 Ge 2.48
3 Hf 0.0000 0.0000 0.5000  2 Ge 2.48
4 Hf 0.5000 0.0000 0.0000  2 Ge 2.48
5 Sn 0.5000 0.5000 0.5000  12 Hf 3.50

Properties
For the total magnetization, the calculation gives 0.000 μB per atom. The calculation puts the formation energy at 239 meV per atom. The energy above the most stable polymorph in this dataset is 0.4905 eV/atom.